Record 1
Nd6Dy7Ho16: optimized geometry, PBE-GGA. Values from VASP.

Properties
Electronic total energy = -4.38 eV/atom
Space-group type = Fm-3m (225)
DFT formation energy = 6.929 eV per formula unit

The structure in Quantum ESPRESSO input format:
```
&SYSTEM
  ibrav = 0, nat = 29, ntyp = 3
/
ATOMIC_SPECIES
Nd 144.24 Nd.upf
Dy 162.50 Dy.upf
Ho 164.93 Ho.upf
ATOMIC_POSITIONS crystal
Nd 0.272 0.728 0.272
Nd 0.728 0.272 0.728
Nd 0.728 0.272 0.272
Nd 0.272 0.728 0.728
Nd 0.728 0.728 0.272
Nd 0.272 0.272 0.728
Dy 0.000 0.000 0.000
Dy 0.500 0.000 0.500
Dy 0.000 0.500 0.000
Dy 0.000 0.500 0.500
Dy 0.500 0.000 0.000
Dy 0.000 0.000 0.500
Dy 0.500 0.500 0.000
Ho 0.874 0.874 0.379
Ho 0.874 0.874 0.874
Ho 0.874 0.379 0.874
Ho 0.379 0.874 0.874
Ho 0.126 0.126 0.126
Ho 0.126 0.126 0.621
Ho 0.126 0.621 0.126
Ho 0.621 0.126 0.126
Ho 0.651 0.651 0.047
Ho 0.651 0.651 0.651
Ho 0.651 0.047 0.651
Ho 0.047 0.651 0.651
Ho 0.349 0.349 0.349
Ho 0.349 0.349 0.953
Ho 0.349 0.953 0.349
Ho 0.953 0.349 0.349
CELL_PARAMETERS angstrom
9.656 0.000 5.575
3.219 9.104 5.575
0.000 0.000 11.150
```

---

Record 2
Nd2Dy5Ho2: optimized geometry, PBE-GGA. Values from VASP.

Properties
Distance to the lowest polymorph of the same formula = 15.6 meV/atom
Electronic total energy = -4.40 eV/atom
Space-group type = C2/m (12)
DFT formation energy = 2.070 eV per formula unit

The structure in Quantum ESPRESSO input format:
```
&SYSTEM
  ibrav = 0, nat = 9, ntyp = 3
/
ATOMIC_SPECIES
Nd 144.24 Nd.upf
Dy 162.50 Dy.upf
Ho 164.93 Ho.upf
ATOMIC_POSITIONS crystal
Nd 0.819 0.784 0.638
Nd 0.181 0.216 0.362
Dy 0.690 0.850 0.381
Dy 0.310 0.150 0.619
Dy 0.905 0.543 0.809
Dy 0.095 0.457 0.191
Dy 0.000 0.000 0.000
Ho 0.547 0.739 0.094
Ho 0.453 0.261 0.906
CELL_PARAMETERS angstrom
3.421 0.000 -0.706
-0.486 7.847 -2.358
0.731 -2.955 12.190
```

---

Record 3
Nd8Dy5Ho: optimized geometry, PBE-GGA. Values from VASP.

Properties
Electronic total energy = -4.53 eV/atom
Space-group type = P1 (1)
DFT formation energy = 2.328 eV per formula unit

The structure in Quantum ESPRESSO input format:
```
&SYSTEM
  ibrav = 0, nat = 14, ntyp = 3
/
ATOMIC_SPECIES
Nd 144.24 Nd.upf
Dy 162.50 Dy.upf
Ho 164.93 Ho.upf
ATOMIC_POSITIONS crystal
Nd 0.215 0.730 0.084
Nd 0.086 0.210 0.745
Nd 0.649 0.219 0.304
Nd 0.699 0.453 0.936
Nd 0.482 0.547 0.246
Nd 0.535 0.790 0.876
Nd 0.354 0.270 0.484
Nd 0.085 0.781 0.430
Dy 0.961 0.263 0.090
Dy 0.871 0.962 0.268
Dy 0.827 0.736 0.698
Dy 0.591 0.000 0.591
Dy 0.306 0.038 0.909
Ho 0.091 0.500 0.588
CELL_PARAMETERS angstrom
-0.528 -8.406 -1.701
7.901 3.533 -0.578
-3.209 -0.183 7.966
```

---

Record 4
Nd12Dy2Ho5: optimized geometry, PBE-GGA. Values from VASP.

Properties
Distance to the lowest polymorph of the same formula = 101.6 meV/atom
Electronic total energy = -4.47 eV/atom
Space-group type = C2/m (12)
DFT formation energy = 4.411 eV per formula unit

The structure in Quantum ESPRESSO input format:
```
&SYSTEM
  ibrav = 0, nat = 19, ntyp = 3
/
ATOMIC_SPECIES
Nd 144.24 Nd.upf
Dy 162.50 Dy.upf
Ho 164.93 Ho.upf
ATOMIC_POSITIONS crystal
Nd 0.036 0.072 0.187
Nd 0.109 0.643 0.787
Nd 0.534 0.643 0.787
Nd 0.167 0.749 0.272
Nd 0.582 0.749 0.272
Nd 0.444 0.888 0.626
Nd 0.556 0.112 0.374
Nd 0.833 0.251 0.728
Nd 0.418 0.251 0.728
Nd 0.891 0.357 0.213
Nd 0.466 0.357 0.213
Nd 0.964 0.928 0.813
Dy 0.674 0.000 0.000
Dy 0.326 0.000 0.000
Ho 0.217 0.433 0.500
Ho 0.196 0.391 0.970
Ho 0.000 0.000 0.500
Ho 0.804 0.609 0.030
Ho 0.783 0.567 0.500
CELL_PARAMETERS angstrom
8.515 0.000 0.000
-4.257 8.608 0.589
0.000 -2.338 8.811
```

---

Record 5
Nd5DyHo2: optimized geometry, PBE-GGA. Values from VASP.

Properties
Distance to the lowest polymorph of the same formula = 258.1 meV/atom
Electronic total energy = -4.43 eV/atom
Space-group type = C2/c (15)
DFT formation energy = 2.193 eV per formula unit

The structure in Quantum ESPRESSO input format:
```
&SYSTEM
  ibrav = 0, nat = 16, ntyp = 3
/
ATOMIC_SPECIES
Nd 144.24 Nd.upf
Dy 162.50 Dy.upf
Ho 164.93 Ho.upf
ATOMIC_POSITIONS crystal
Nd 0.625 0.375 0.750
Nd 0.375 0.625 0.250
Nd 0.171 0.476 0.169
Nd 0.874 0.004 0.121
Nd 0.476 0.171 0.669
Nd 0.996 0.126 0.379
Nd 0.004 0.874 0.621
Nd 0.126 0.996 0.879
Nd 0.524 0.829 0.331
Nd 0.829 0.524 0.831
Dy 0.796 0.204 0.250
Dy 0.204 0.796 0.750
Ho 0.500 0.000 0.000
Ho 0.500 0.500 0.000
Ho 0.500 0.500 0.500
Ho 0.000 0.500 0.500
CELL_PARAMETERS angstrom
13.462 -4.482 3.970
-5.664 13.009 3.970
3.393 3.710 7.110
```

---

Record 6
Nd3Dy7Ho: optimized geometry, PBE-GGA. Values from VASP.

Properties
Distance to the lowest polymorph of the same formula = 30.3 meV/atom
Electronic total energy = -4.47 eV/atom
Space-group type = P3m1 (156)
DFT formation energy = 1.911 eV per formula unit

The structure in Quantum ESPRESSO input format:
```
&SYSTEM
  ibrav = 0, nat = 11, ntyp = 3
/
ATOMIC_SPECIES
Nd 144.24 Nd.upf
Dy 162.50 Dy.upf
Ho 164.93 Ho.upf
ATOMIC_POSITIONS crystal
Nd 0.783 0.500 0.500
Nd 0.783 0.500 0.000
Nd 0.783 0.000 0.500
Dy 0.121 0.168 0.832
Dy 0.121 0.168 0.335
Dy 0.123 0.667 0.333
Dy 0.446 0.833 0.167
Dy 0.446 0.335 0.167
Dy 0.446 0.833 0.665
Dy 0.121 0.665 0.832
Ho 0.444 0.333 0.667
CELL_PARAMETERS angstrom
-0.009 -6.927 5.243
-3.029 -3.859 -5.103
7.055 0.342 0.463
```

---

Record 7
Nd2DyHo9: optimized geometry, PBE-GGA. Values from VASP.

Properties
Distance to the lowest polymorph of the same formula = 47.3 meV/atom
Electronic total energy = -4.54 eV/atom
Space-group type = P6/mmm (191)
DFT formation energy = 0.839 eV per formula unit

The structure in Quantum ESPRESSO input format:
```
&SYSTEM
  ibrav = 0, nat = 12, ntyp = 3
/
ATOMIC_SPECIES
Nd 144.24 Nd.upf
Dy 162.50 Dy.upf
Ho 164.93 Ho.upf
ATOMIC_POSITIONS crystal
Nd 0.000 0.333 0.667
Nd 0.000 0.667 0.333
Dy 0.000 0.000 0.000
Ho 0.000 0.000 0.500
Ho 0.000 0.500 0.500
Ho 0.000 0.500 0.000
Ho 0.500 0.348 0.174
Ho 0.500 0.174 0.826
Ho 0.500 0.174 0.348
Ho 0.500 0.826 0.652
Ho 0.500 0.826 0.174
Ho 0.500 0.652 0.826
CELL_PARAMETERS angstrom
3.490 0.000 0.000
0.000 11.235 0.000
0.000 -5.618 9.730
```

---

Record 8
Nd5Dy2Ho: optimized geometry, PBE-GGA. Values from VASP.

Properties
Distance to the lowest polymorph of the same formula = 0.0 meV/atom
Electronic total energy = -4.69 eV/atom
Space-group type = Pbam (55)
DFT formation energy = 0.131 eV per formula unit

The structure in Quantum ESPRESSO input format:
```
&SYSTEM
  ibrav = 0, nat = 16, ntyp = 3
/
ATOMIC_SPECIES
Nd 144.24 Nd.upf
Dy 162.50 Dy.upf
Ho 164.93 Ho.upf
ATOMIC_POSITIONS crystal
Nd 0.000 0.000 0.000
Nd 0.000 0.500 0.500
Nd 0.000 0.501 0.751
Nd 0.000 0.499 0.249
Nd 0.000 0.999 0.251
Nd 0.000 0.001 0.749
Nd 0.500 0.252 0.876
Nd 0.500 0.748 0.124
Nd 0.500 0.248 0.376
Nd 0.500 0.752 0.624
Dy 0.500 0.250 0.624
Dy 0.500 0.750 0.376
Dy 0.500 0.250 0.124
Dy 0.500 0.750 0.876
Ho 0.000 0.000 0.500
Ho 0.000 0.500 0.000
CELL_PARAMETERS angstrom
5.131 0.000 0.000
0.000 7.246 0.000
0.000 0.000 14.504
```

---

Record 9
NdDy7Ho5: optimized geometry, PBE-GGA. Values from VASP.

Properties
Electronic total energy = -4.36 eV/atom
Space-group type = Imm2 (44)
DFT formation energy = 3.230 eV per formula unit

The structure in Quantum ESPRESSO input format:
```
&SYSTEM
  ibrav = 0, nat = 13, ntyp = 3
/
ATOMIC_SPECIES
Nd 144.24 Nd.upf
Dy 162.50 Dy.upf
Ho 164.93 Ho.upf
ATOMIC_POSITIONS crystal
Nd 0.033 0.967 0.967
Dy 0.729 0.271 0.271
Dy 0.424 0.576 0.576
Dy 0.981 0.349 0.689
Dy 0.981 0.689 0.349
Dy 0.230 0.270 0.270
Dy 0.481 0.848 0.189
Dy 0.481 0.189 0.848
Ho 0.466 0.998 0.539
Ho 0.998 0.998 0.539
Ho 0.466 0.539 0.998
Ho 0.998 0.539 0.998
Ho 0.733 0.767 0.767
CELL_PARAMETERS angstrom
-1.566 5.485 3.454
3.040 -0.191 8.117
6.141 6.102 -0.469
```

---

Record 10
NdDy7Ho4: optimized geometry, PBE-GGA. Values from VASP.

Properties
Distance to the lowest polymorph of the same formula = 0.0 meV/atom
Electronic total energy = -4.61 eV/atom
Space-group type = P-1 (2)
DFT formation energy = -0.018 eV per formula unit

The structure in Quantum ESPRESSO input format:
```
&SYSTEM
  ibrav = 0, nat = 12, ntyp = 3
/
ATOMIC_SPECIES
Nd 144.24 Nd.upf
Dy 162.50 Dy.upf
Ho 164.93 Ho.upf
ATOMIC_POSITIONS crystal
Nd 0.000 0.000 0.000
Dy 0.751 0.500 0.000
Dy 0.249 0.500 0.000
Dy 0.972 0.279 0.665
Dy 0.028 0.721 0.335
Dy 0.222 0.778 0.666
Dy 0.500 0.000 0.000
Dy 0.778 0.222 0.334
Ho 0.530 0.721 0.335
Ho 0.470 0.279 0.665
Ho 0.721 0.779 0.666
Ho 0.279 0.221 0.334
CELL_PARAMETERS angstrom
-0.387 2.109 6.830
1.490 -3.504 8.660
8.783 0.716 0.273
```

---

Record 11
Nd7Dy2Ho2: optimized geometry, PBE-GGA. Values from VASP.

Properties
Distance to the lowest polymorph of the same formula = 7.9 meV/atom
Electronic total energy = -4.56 eV/atom
Space-group type = C2/m (12)
DFT formation energy = 1.530 eV per formula unit

The structure in Quantum ESPRESSO input format:
```
&SYSTEM
  ibrav = 0, nat = 11, ntyp = 3
/
ATOMIC_SPECIES
Nd 144.24 Nd.upf
Dy 162.50 Dy.upf
Ho 164.93 Ho.upf
ATOMIC_POSITIONS crystal
Nd 0.180 0.051 0.587
Nd 0.820 0.413 0.949
Nd 0.820 0.949 0.413
Nd 0.180 0.587 0.051
Nd 0.000 0.000 0.000
Nd 0.801 0.423 0.423
Nd 0.199 0.577 0.577
Dy 0.500 0.785 0.215
Dy 0.500 0.215 0.785
Ho 0.588 0.772 0.772
Ho 0.412 0.228 0.228
CELL_PARAMETERS angstrom
5.972 0.526 1.307
1.353 7.995 0.671
0.511 -0.842 8.077
```

---

Record 12
Nd5DyHo4: optimized geometry, PBE-GGA. Values from VASP.

Properties
Distance to the lowest polymorph of the same formula = 0.0 meV/atom
Electronic total energy = -4.62 eV/atom
Space-group type = P-1 (2)
DFT formation energy = 0.599 eV per formula unit

The structure in Quantum ESPRESSO input format:
```
&SYSTEM
  ibrav = 0, nat = 10, ntyp = 3
/
ATOMIC_SPECIES
Nd 144.24 Nd.upf
Dy 162.50 Dy.upf
Ho 164.93 Ho.upf
ATOMIC_POSITIONS crystal
Nd 0.168 0.576 0.382
Nd 0.992 0.819 0.209
Nd 0.008 0.181 0.791
Nd 0.500 0.500 0.000
Nd 0.832 0.424 0.618
Dy 0.500 0.000 0.000
Ho 0.423 0.121 0.417
Ho 0.810 0.281 0.203
Ho 0.577 0.879 0.583
Ho 0.190 0.719 0.797
CELL_PARAMETERS angstrom
3.529 0.286 -0.536
0.315 10.956 -2.627
0.449 -1.269 8.887
```

---

What did the second record say?
Nd2Dy5Ho2: optimized geometry, PBE-GGA. Values from VASP.

Properties
Distance to the lowest polymorph of the same formula = 15.6 meV/atom
Electronic total energy = -4.40 eV/atom
Space-group type = C2/m (12)
DFT formation energy = 2.070 eV per formula unit

The structure in Quantum ESPRESSO input format:
```
&SYSTEM
  ibrav = 0, nat = 9, ntyp = 3
/
ATOMIC_SPECIES
Nd 144.24 Nd.upf
Dy 162.50 Dy.upf
Ho 164.93 Ho.upf
ATOMIC_POSITIONS crystal
Nd 0.819 0.784 0.638
Nd 0.181 0.216 0.362
Dy 0.690 0.850 0.381
Dy 0.310 0.150 0.619
Dy 0.905 0.543 0.809
Dy 0.095 0.457 0.191
Dy 0.000 0.000 0.000
Ho 0.547 0.739 0.094
Ho 0.453 0.261 0.906
CELL_PARAMETERS angstrom
3.421 0.000 -0.706
-0.486 7.847 -2.358
0.731 -2.955 12.190
```